1.
{"formula": "Li3AsO", "functional": "PBE", "state": "relaxed", "cell": [[4.7748, 0.0000, 0.0000], [0.0000, 4.7748, 0.0000], [0.0000, 0.0000, 4.7748]], "species": ["Li", "Li", "Li", "As", "O"], "frac_coords": [[0.0000, 0.0000, 0.5000], [0.0000, 0.5000, 0.0000], [0.5000, 0.0000, 0.0000], [0.0000, 0.0000, 0.0000], [0.5000, 0.5000, 0.5000]], "formation_energy_uncorrected_ev_per_fu": -0.24, "de_polymorph_ev_per_atom": 1.1765, "spacegroup": "Pm-3m, No. 221", "m_tot_mub_per_cell": 2.0, "mass_density_g_cm3": 1.70}

2.
{"formula": "Li2AsO4", "functional": "PBE", "state": "relaxed", "cell": [[5.3877, -1.4579, 0.0000], [5.3877, 1.4579, 0.0000], [-1.8721, 0.0000, 4.7429]], "species": ["Li", "Li", "As", "O", "O", "O", "O"], "frac_coords": [[0.1655, 0.1655, 0.0928], [0.8345, 0.8345, 0.9072], [0.5000, 0.5000, 0.5000], [0.0761, 0.0761, 0.3631], [0.3606, 0.3606, 0.1772], [0.6394, 0.6394, 0.8228], [0.9239, 0.9239, 0.6369]], "formation_energy_uncorrected_ev_per_fu": -9.80, "de_polymorph_ev_per_atom": 0.0000, "spacegroup": "C2/m, No. 12", "m_tot_mub_per_cell": 1.0, "mass_density_g_cm3": 3.41}

3.
{"formula": "Li3AsO4", "functional": "PBE", "state": "relaxed", "cell": [[10.9493, 0.0000, 0.0000], [0.0000, 6.3683, 0.0000], [0.0000, 0.0000, 5.1628]], "species": ["Li", "Li", "Li", "Li", "Li", "Li", "Li", "Li", "Li", "Li", "Li", "Li", "As", "As", "As", "As", "O", "O", "O", "O", "O", "O", "O", "O", "O", "O", "O", "O", "O", "O", "O", "O"], "frac_coords": [[0.0770, 0.2500, 0.1946], [0.1656, 0.5039, 0.8096], [0.1656, 0.9961, 0.8096], [0.3344, 0.0039, 0.3096], [0.3344, 0.4961, 0.3096], [0.4230, 0.7500, 0.6946], [0.5770, 0.2500, 0.3054], [0.6656, 0.5039, 0.6904], [0.6656, 0.9961, 0.6904], [0.8344, 0.0039, 0.1904], [0.8344, 0.4961, 0.1904], [0.9230, 0.7500, 0.8054], [0.0871, 0.7500, 0.3119], [0.4129, 0.2500, 0.8119], [0.5871, 0.7500, 0.1881], [0.9129, 0.2500, 0.6881], [0.0609, 0.2500, 0.7996], [0.0873, 0.7500, 0.6469], [0.1624, 0.5293, 0.2025], [0.1624, 0.9707, 0.2025], [0.3376, 0.0293, 0.7025], [0.3376, 0.4707, 0.7025], [0.4127, 0.2500, 0.1469], [0.4391, 0.7500, 0.2996], [0.5609, 0.2500, 0.7004], [0.5873, 0.7500, 0.8531], [0.6624, 0.5293, 0.2975], [0.6624, 0.9707, 0.2975], [0.8376, 0.0293, 0.7975], [0.8376, 0.4707, 0.7975], [0.9127, 0.2500, 0.3531], [0.9391, 0.7500, 0.2004]], "formation_energy_uncorrected_ev_per_fu": -15.32, "de_polymorph_ev_per_atom": 0.0032, "spacegroup": "Pnma, No. 62", "m_tot_mub_per_cell": 0.0, "mass_density_g_cm3": 2.95}

4.
{"formula": "LiAsO3", "functional": "PBE", "state": "relaxed", "cell": [[2.4489, 1.4139, 4.8199], [-2.4489, 1.4139, 4.8199], [0.0000, -2.8277, 4.8199]], "species": ["Li", "Li", "As", "As", "O", "O", "O", "O", "O", "O"], "frac_coords": [[0.1333, 0.1333, 0.1333], [0.8667, 0.8667, 0.8667], [0.3385, 0.3385, 0.3385], [0.6615, 0.6615, 0.6615], [0.0644, 0.7035, 0.4504], [0.2965, 0.5496, 0.9356], [0.4504, 0.0644, 0.7035], [0.5496, 0.9356, 0.2965], [0.7035, 0.4504, 0.0644], [0.9356, 0.2965, 0.5496]], "formation_energy_uncorrected_ev_per_fu": -7.83, "spacegroup": "R-3, No. 148", "m_tot_mub_per_cell": 0.0, "mass_density_g_cm3": 4.31}